1.
{"formula": "SrReRu2", "functional": "PBE", "state": "optimized geometry", "lattice": [[8.863, 0.000, 0.000], [0.000, 2.899, 0.000], [-0.970, 0.000, 6.180]], "species": ["Sr", "Sr", "Re", "Re", "Ru", "Ru", "Ru", "Ru"], "fractional_positions": [[0.000, 0.000, 0.000], [0.500, 0.500, 0.000], [0.000, 0.500, 0.500], [0.500, 0.000, 0.500], [0.231, 0.000, 0.661], [0.269, 0.500, 0.339], [0.731, 0.500, 0.661], [0.769, 0.000, 0.339]], "total_magnetization_mub_per_cell": 0.00, "de_polymorph_mev_per_atom": 135, "formation_enthalpy_0k_ev_per_atom": 0.57}

2.
{"formula": "LiSmMgIr", "functional": "PBE", "state": "optimized geometry", "lattice": [[6.793, 0.000, 0.000], [0.000, 6.793, 0.000], [0.000, 0.000, 6.793]], "species": ["Li", "Li", "Li", "Li", "Sm", "Sm", "Sm", "Sm", "Mg", "Mg", "Mg", "Mg", "Ir", "Ir", "Ir", "Ir"], "fractional_positions": [[0.000, 0.000, 0.000], [0.000, 0.500, 0.500], [0.500, 0.000, 0.500], [0.500, 0.500, 0.000], [0.250, 0.250, 0.750], [0.250, 0.750, 0.250], [0.750, 0.250, 0.250], [0.750, 0.750, 0.750], [0.250, 0.250, 0.250], [0.250, 0.750, 0.750], [0.750, 0.250, 0.750], [0.750, 0.750, 0.250], [0.000, 0.000, 0.500], [0.000, 0.500, 0.000], [0.500, 0.000, 0.000], [0.500, 0.500, 0.500]], "total_magnetization_mub_per_cell": 0.00, "formation_enthalpy_0k_ev_per_atom": -0.39}

3.
{"formula": "LaCu2", "functional": "PBE", "state": "optimized geometry", "lattice": [[3.494, 0.000, 0.000], [0.000, 3.494, 0.000], [0.000, 0.000, 5.196]], "species": ["La", "Cu", "Cu"], "fractional_positions": [[0.000, 0.000, 0.000], [0.000, 0.500, 0.500], [0.500, 0.000, 0.500]], "total_magnetization_mub_per_cell": 0.51, "formation_enthalpy_0k_ev_per_atom": 0.16}

4.
{"formula": "RbNCl2", "functional": "PBE", "state": "optimized geometry", "lattice": [[10.385, 0.000, 0.000], [0.000, 5.426, 0.000], [0.000, 0.000, 9.054]], "species": ["Rb", "Rb", "Rb", "Rb", "N", "N", "N", "N", "Cl", "Cl", "Cl", "Cl", "Cl", "Cl", "Cl", "Cl"], "fractional_positions": [[0.144, 0.250, 0.109], [0.356, 0.750, 0.609], [0.644, 0.250, 0.391], [0.856, 0.750, 0.891], [0.038, 0.750, 0.289], [0.462, 0.250, 0.789], [0.538, 0.750, 0.211], [0.962, 0.250, 0.711], [0.085, 0.250, 0.605], [0.174, 0.750, 0.905], [0.326, 0.250, 0.405], [0.415, 0.750, 0.105], [0.585, 0.250, 0.895], [0.674, 0.750, 0.595], [0.826, 0.250, 0.095], [0.915, 0.750, 0.395]], "total_magnetization_mub_per_cell": 7.55, "de_polymorph_mev_per_atom": 0, "e_form_raw_ev_per_atom": -0.183}

5.
{"formula": "Tb2HoScBi5", "functional": "PBE", "state": "optimized geometry", "lattice": [[5.452, 0.000, 0.000], [0.000, 5.452, 0.000], [0.000, 0.000, 11.476]], "species": ["Tb", "Tb", "Ho", "Sc", "Bi", "Bi", "Bi", "Bi", "Bi"], "fractional_positions": [[0.000, 0.000, 0.223], [0.000, 0.000, 0.777], [0.500, 0.500, 0.000], [0.500, 0.500, 0.500], [0.000, 0.000, 0.500], [0.000, 0.500, 0.000], [0.500, 0.000, 0.000], [0.500, 0.500, 0.260], [0.500, 0.500, 0.740]], "total_magnetization_mub_per_cell": 0.00, "formation_enthalpy_0k_ev_per_atom": 0.04}

6.
{"formula": "LiPuAl2", "functional": "PBE", "state": "optimized geometry", "lattice": [[2.863, 0.000, 0.000], [-1.432, 2.480, 0.000], [0.000, 0.000, 32.237]], "species": ["Li", "Li", "Li", "Pu", "Pu", "Pu", "Al", "Al", "Al", "Al", "Al", "Al"], "fractional_positions": [[0.000, 0.000, 0.000], [0.333, 0.667, 0.667], [0.667, 0.333, 0.333], [0.000, 0.000, 0.500], [0.333, 0.667, 0.167], [0.667, 0.333, 0.833], [0.000, 0.000, 0.406], [0.000, 0.000, 0.594], [0.333, 0.667, 0.073], [0.333, 0.667, 0.261], [0.667, 0.333, 0.739], [0.667, 0.333, 0.927]], "total_magnetization_mub_per_cell": 14.75, "de_polymorph_mev_per_atom": 352, "formation_enthalpy_0k_ev_per_atom": 0.19}

7.
{"formula": "CeSmAu4", "functional": "PBE", "state": "optimized geometry", "lattice": [[3.828, 0.000, 0.000], [0.000, 3.828, 0.000], [0.000, 0.000, 9.297]], "species": ["Ce", "Sm", "Au", "Au", "Au", "Au"], "fractional_positions": [[0.000, 0.000, 0.000], [0.500, 0.500, 0.500], [0.000, 0.000, 0.336], [0.000, 0.000, 0.664], [0.500, 0.500, 0.169], [0.500, 0.500, 0.831]], "total_magnetization_mub_per_cell": 0.74, "de_polymorph_mev_per_atom": 0, "formation_enthalpy_0k_ev_per_atom": -0.73}

8.
{"formula": "Li3Pt", "functional": "PBE", "state": "optimized geometry", "lattice": [[4.111, 0.000, 0.000], [0.000, 4.111, 0.000], [0.000, 0.000, 6.626]], "species": ["Li", "Li", "Li", "Li", "Li", "Li", "Pt", "Pt"], "fractional_positions": [[0.000, 0.000, 0.000], [0.000, 0.500, 0.250], [0.000, 0.500, 0.750], [0.500, 0.000, 0.250], [0.500, 0.000, 0.750], [0.500, 0.500, 0.500], [0.000, 0.000, 0.500], [0.500, 0.500, 0.000]], "total_magnetization_mub_per_cell": 0.00, "de_polymorph_mev_per_atom": 0, "formation_enthalpy_0k_ev_per_atom": -0.42}

9.
{"formula": "Rb2DyHCl6", "functional": "PBE", "state": "optimized geometry", "lattice": [[-4.128, 4.135, 4.281], [4.128, -4.135, 4.281], [4.128, 4.135, -4.281]], "species": ["Rb", "Rb", "Dy", "H", "Cl", "Cl", "Cl", "Cl", "Cl", "Cl"], "fractional_positions": [[0.250, 0.250, 0.000], [0.750, 0.750, 0.000], [0.500, 0.000, 0.500], [0.000, 0.500, 0.500], [0.182, 0.682, 0.500], [0.278, 0.223, 0.501], [0.278, 0.777, 0.055], [0.722, 0.223, 0.945], [0.722, 0.777, 0.499], [0.818, 0.318, 0.500]], "total_magnetization_mub_per_cell": 0.00, "total_energy_ev_per_atom": -3.8568}

10.
{"formula": "Nd3HRh8", "functional": "PBE", "state": "optimized geometry", "lattice": [[2.692, 1.554, 8.735], [-2.692, 1.554, 8.735], [0.000, -3.108, 8.735]], "species": ["Nd", "Nd", "Nd", "H", "Rh", "Rh", "Rh", "Rh", "Rh", "Rh", "Rh", "Rh"], "fractional_positions": [[0.000, 0.000, 0.000], [0.132, 0.132, 0.132], [0.609, 0.609, 0.609], [0.431, 0.431, 0.431], [0.056, 0.564, 0.564], [0.061, 0.061, 0.563], [0.061, 0.563, 0.061], [0.312, 0.312, 0.312], [0.563, 0.061, 0.061], [0.564, 0.056, 0.564], [0.564, 0.564, 0.056], [0.813, 0.813, 0.813]], "total_magnetization_mub_per_cell": 0.00, "total_energy_ev_per_atom": -6.8005}

11.
{"formula": "Bi2Se", "functional": "PBE", "state": "optimized geometry", "lattice": [[4.244, 0.000, 0.000], [-2.122, 3.675, 0.000], [0.000, 0.000, 24.494]], "species": ["Bi", "Bi", "Bi", "Bi", "Bi", "Bi", "Bi", "Bi", "Se", "Se", "Se", "Se"], "fractional_positions": [[0.000, 0.000, 0.131], [0.000, 0.000, 0.869], [0.333, 0.667, 0.054], [0.333, 0.667, 0.294], [0.333, 0.667, 0.539], [0.667, 0.333, 0.461], [0.667, 0.333, 0.706], [0.667, 0.333, 0.946], [0.000, 0.000, 0.362], [0.000, 0.000, 0.638], [0.333, 0.667, 0.777], [0.667, 0.333, 0.223]], "total_magnetization_mub_per_cell": 0.00, "de_polymorph_mev_per_atom": 0, "e_form_raw_ev_per_atom": -0.164}

12.
{"formula": "KRb2HgBr4", "functional": "PBE", "state": "optimized geometry", "lattice": [[0.000, 8.248, 13.569], [3.261, 0.000, 13.569], [3.261, 8.248, 0.000]], "species": ["K", "K", "Rb", "Rb", "Rb", "Rb", "Hg", "Hg", "Br", "Br", "Br", "Br", "Br", "Br", "Br", "Br"], "fractional_positions": [[0.125, 0.125, 0.125], [0.875, 0.875, 0.875], [0.068, 0.068, 0.682], [0.318, 0.318, 0.932], [0.682, 0.682, 0.068], [0.932, 0.932, 0.318], [0.375, 0.375, 0.375], [0.625, 0.625, 0.625], [0.050, 0.306, 0.466], [0.306, 0.050, 0.677], [0.323, 0.534, 0.694], [0.466, 0.677, 0.050], [0.534, 0.323, 0.950], [0.677, 0.466, 0.306], [0.694, 0.950, 0.323], [0.950, 0.694, 0.534]], "total_magnetization_mub_per_cell": 0.00, "e_form_raw_ev_per_atom": -1.175}

13.
{"formula": "SiMoS2", "functional": "PBE", "state": "optimized geometry", "lattice": [[3.133, 0.000, 0.000], [-1.567, 2.713, 0.000], [0.000, 0.000, 24.866]], "species": ["Si", "Si", "Si", "Mo", "Mo", "Mo", "S", "S", "S", "S", "S", "S"], "fractional_positions": [[0.000, 0.000, 0.000], [0.333, 0.667, 0.667], [0.667, 0.333, 0.333], [0.000, 0.000, 0.500], [0.333, 0.667, 0.167], [0.667, 0.333, 0.833], [0.000, 0.000, 0.101], [0.000, 0.000, 0.899], [0.333, 0.667, 0.566], [0.333, 0.667, 0.768], [0.667, 0.333, 0.232], [0.667, 0.333, 0.434]], "total_magnetization_mub_per_cell": 0.00, "e_form_raw_ev_per_atom": -0.162}

14.
{"formula": "Pu2RhN", "functional": "PBE", "state": "optimized geometry", "lattice": [[3.928, 0.000, 0.000], [-1.964, 3.401, 0.000], [0.000, 0.000, 14.382]], "species": ["Pu", "Pu", "Pu", "Pu", "Pu", "Pu", "Rh", "Rh", "Rh", "N", "N", "N"], "fractional_positions": [[0.000, 0.000, 0.207], [0.000, 0.000, 0.793], [0.333, 0.667, 0.460], [0.333, 0.667, 0.874], [0.667, 0.333, 0.126], [0.667, 0.333, 0.540], [0.000, 0.000, 0.000], [0.333, 0.667, 0.667], [0.667, 0.333, 0.333], [0.000, 0.000, 0.500], [0.333, 0.667, 0.167], [0.667, 0.333, 0.833]], "total_magnetization_mub_per_cell": 5.25, "de_polymorph_mev_per_atom": 814, "e_form_raw_ev_per_atom": 0.079}

15.
{"formula": "Mg2TaCr", "functional": "PBE", "state": "optimized geometry", "lattice": [[2.728, 0.000, 0.000], [0.000, 2.728, 0.000], [0.000, 0.000, 9.201]], "species": ["Mg", "Mg", "Ta", "Cr"], "fractional_positions": [[0.000, 0.000, 0.233], [0.000, 0.000, 0.767], [0.500, 0.500, 0.500], [0.500, 0.500, 0.000]], "total_magnetization_mub_per_cell": 0.01, "de_polymorph_mev_per_atom": 252, "formation_enthalpy_0k_ev_per_atom": 0.52}

16.
{"formula": "Li12RhAu6", "functional": "PBE", "state": "optimized geometry", "lattice": [[4.842, 2.795, 3.839], [-4.842, 2.795, 3.839], [0.000, -5.591, 3.839]], "species": ["Li", "Li", "Li", "Li", "Li", "Li", "Li", "Li", "Li", "Li", "Li", "Li", "Rh", "Au", "Au", "Au", "Au", "Au", "Au"], "fractional_positions": [[0.029, 0.924, 0.308], [0.076, 0.692, 0.971], [0.130, 0.472, 0.355], [0.308, 0.029, 0.924], [0.355, 0.130, 0.472], [0.472, 0.355, 0.130], [0.528, 0.645, 0.870], [0.645, 0.870, 0.528], [0.692, 0.971, 0.076], [0.870, 0.528, 0.645], [0.924, 0.308, 0.029], [0.971, 0.076, 0.692], [0.500, 0.500, 0.500], [0.222, 0.380, 0.777], [0.223, 0.778, 0.620], [0.380, 0.777, 0.222], [0.620, 0.223, 0.778], [0.777, 0.222, 0.380], [0.778, 0.620, 0.223]], "total_magnetization_mub_per_cell": 0.00, "formation_enthalpy_0k_ev_per_atom": -0.41}

17.
{"formula": "K2Tl6HgPb", "functional": "PBE", "state": "optimized geometry", "lattice": [[4.125, 2.382, 13.302], [-4.125, 2.382, 13.302], [0.000, -4.764, 13.302]], "species": ["K", "K", "K", "K", "Tl", "Tl", "Tl", "Tl", "Tl", "Tl", "Tl", "Tl", "Tl", "Tl", "Tl", "Tl", "Hg", "Hg", "Pb", "Pb"], "fractional_positions": [[0.151, 0.151, 0.151], [0.290, 0.290, 0.290], [0.710, 0.710, 0.710], [0.849, 0.849, 0.849], [0.137, 0.601, 0.601], [0.187, 0.807, 0.807], [0.193, 0.193, 0.813], [0.193, 0.813, 0.193], [0.399, 0.399, 0.863], [0.399, 0.863, 0.399], [0.601, 0.137, 0.601], [0.601, 0.601, 0.137], [0.807, 0.187, 0.807], [0.807, 0.807, 0.187], [0.813, 0.193, 0.193], [0.863, 0.399, 0.399], [0.000, 0.000, 0.000], [0.500, 0.500, 0.500], [0.379, 0.379, 0.379], [0.621, 0.621, 0.621]], "total_magnetization_mub_per_cell": 0.00, "formation_enthalpy_0k_ev_per_atom": 0.01}

18.
{"formula": "Pm2NdSb3", "functional": "PBE", "state": "optimized geometry", "lattice": [[3.182, -9.550, 0.000], [3.182, 9.550, 0.000], [0.000, 0.000, 6.363]], "species": ["Pm", "Pm", "Pm", "Pm", "Nd", "Nd", "Sb", "Sb", "Sb", "Sb", "Sb", "Sb"], "fractional_positions": [[0.000, 0.000, 0.000], [0.167, 0.833, 0.500], [0.500, 0.500, 0.500], [0.833, 0.167, 0.500], [0.333, 0.667, 0.000], [0.667, 0.333, 0.000], [0.000, 0.000, 0.500], [0.166, 0.834, 0.000], [0.333, 0.667, 0.500], [0.500, 0.500, 0.000], [0.667, 0.333, 0.500], [0.834, 0.166, 0.000]], "total_magnetization_mub_per_cell": 0.00, "de_polymorph_mev_per_atom": 0, "e_form_raw_ev_per_atom": -1.192}

19.
{"formula": "LiZn2Ga", "functional": "PBE", "state": "optimized geometry", "lattice": [[7.382, 0.000, 0.000], [0.000, 7.382, 0.000], [0.000, 0.000, 5.256]], "species": ["Li", "Li", "Li", "Li", "Zn", "Zn", "Zn", "Zn", "Zn", "Zn", "Zn", "Zn", "Ga", "Ga", "Ga", "Ga"], "fractional_positions": [[0.000, 0.000, 0.000], [0.000, 0.500, 0.250], [0.500, 0.000, 0.750], [0.500, 0.500, 0.500], [0.230, 0.750, 0.625], [0.250, 0.230, 0.375], [0.250, 0.270, 0.875], [0.270, 0.750, 0.125], [0.730, 0.250, 0.125], [0.750, 0.730, 0.875], [0.750, 0.770, 0.375], [0.770, 0.250, 0.625], [0.000, 0.000, 0.500], [0.000, 0.500, 0.750], [0.500, 0.000, 0.250], [0.500, 0.500, 0.000]], "total_magnetization_mub_per_cell": 0.00, "formation_enthalpy_0k_ev_per_atom": 0.05}

20.
{"formula": "Tb4Pm3Y4", "functional": "PBE", "state": "optimized geometry", "lattice": [[-1.786, 5.631, 9.258], [1.786, -5.631, 9.258], [1.786, 5.631, -9.258]], "species": ["Tb", "Tb", "Tb", "Tb", "Pm", "Pm", "Pm", "Y", "Y", "Y", "Y"], "fractional_positions": [[0.224, 0.224, 0.000], [0.292, 0.500, 0.792], [0.708, 0.500, 0.208], [0.776, 0.776, 0.000], [0.000, 0.000, 0.000], [0.393, 0.893, 0.500], [0.607, 0.107, 0.500], [0.069, 0.330, 0.739], [0.409, 0.670, 0.739], [0.591, 0.330, 0.261], [0.931, 0.670, 0.261]], "total_magnetization_mub_per_cell": 0.00, "de_polymorph_mev_per_atom": 121, "formation_enthalpy_0k_ev_per_atom": 0.17}

DOS at the Fermi energy, record by record: 6.51 7.96 3.02 0.00 6.91 17.83 7.66 2.08 0.00 12.61 3.93 9.83 7.79 23.02 4.33 5.63 10.57 1.23 4.62 15.44 states/eV/cell